Record 1
An optimized crystal structure of Gd2HPd4. Source: the Alexandria database, functional PBE.

Geometry as extended XYZ:
```
7
Lattice="3.807 0.000 0.000 0.000 3.807 0.000 1.904 1.904 8.953" Properties=species:S:1:pos:R:3 pbc="T T T"
H 0.000 0.000 0.000
Gd 3.807 3.807 6.580
Gd 1.904 1.904 2.373
Pd 3.807 3.807 3.691
Pd 1.904 1.904 5.262
Pd 0.000 1.904 0.000
Pd 1.904 0.000 0.000
```

Properties
Total magnetization ... 14.09 μB per cell
Fermi-level density of states ... 2.01 states/eV per cell
Energy ... -8.011 eV per atom
Theoretical density ... 9.5 Mg/m³
V ... 18.539 Å³ per atom

Record 2
An optimized crystal structure of GaHg4Se6. Source: the Alexandria database, functional PBE.

Geometry as extended XYZ:
```
22
Lattice="-4.391 -6.214 -0.672 2.926 -6.884 1.129 -3.396 -3.627 12.305" Properties=species:S:1:pos:R:3 pbc="T T T"
Ga -2.044 -11.045 5.298
Ga -2.841 -6.072 11.248
Hg -3.416 -4.106 7.737
Hg 0.669 -4.427 2.290
Hg -4.304 -7.993 5.368
Hg -3.544 -11.841 12.237
Hg -4.346 -12.500 8.134
Hg -3.544 -6.442 1.504
Hg -5.014 -8.692 9.750
Hg -0.179 -7.951 4.418
Se -0.794 -6.686 2.094
Se -6.170 -8.194 7.343
Se -1.901 -8.840 6.290
Se -4.956 -7.062 11.894
Se -3.266 -5.388 5.339
Se -5.625 -13.650 11.731
Se -7.214 -9.958 11.103
Se 0.122 -5.677 6.153
Se -0.544 -2.154 3.437
Se -3.143 -10.756 9.792
Se -2.647 -6.490 8.890
Se -1.348 -10.755 3.017
```

Properties
Total magnetization ... 0.00 μB per cell
Fermi-level density of states ... 20.14 states/eV per cell
Energy ... -2.466 eV per atom
Energy relative to the elements, uncorrected ... -0.180 eV per atom
Theoretical density ... 7.2 Mg/m³
V ... 28.384 Å³ per atom

Record 3
An optimized crystal structure of BaYI2O. Source: the Alexandria database, functional PBE.

Geometry as extended XYZ:
```
5
Lattice="-4.384 -0.458 -5.050 -2.724 -5.417 2.857 -2.872 2.633 2.254" Properties=species:S:1:pos:R:3 pbc="T T T"
I -1.362 -2.709 1.428
I -2.192 -0.229 -2.525
Y -4.990 -1.621 0.031
Ba 0.000 0.000 0.000
O -1.436 1.317 1.127
```

Properties
Total magnetization ... 0.48 μB per cell
Fermi-level density of states ... 5.38 states/eV per cell
Energy ... -4.022 eV per atom
Energy relative to the elements, uncorrected ... -0.733 eV per atom
Theoretical density ... 4.1 Mg/m³
V ... 40.455 Å³ per atom

Record 4
An optimized crystal structure of BaLaPb2. Source: the Alexandria database, functional PBE.

Geometry as extended XYZ:
```
4
Lattice="3.792 0.009 0.000 -0.008 3.792 0.000 0.000 0.000 9.725" Properties=species:S:1:pos:R:3 pbc="T T T"
Pb 0.000 0.000 9.581
Pb 0.000 0.000 5.006
Ba 1.892 1.900 2.431
La 1.892 1.900 7.294
```

Properties
Total magnetization ... 0.00 μB per cell
Fermi-level density of states ... 2.89 states/eV per cell
Formation energy from the elements ... -0.54 eV/atom
Energy ... -4.109 eV per atom
Theoretical density ... 8.2 Mg/m³
V ... 34.960 Å³ per atom

Record 5
An optimized crystal structure of HoU2Re9. Source: the Alexandria database, functional PBE.

Geometry as extended XYZ:
```
12
Lattice="-4.588 2.345 0.867 -1.625 0.831 4.896 2.094 9.204 1.920" Properties=species:S:1:pos:R:3 pbc="T T T"
Ho 0.000 0.000 0.000
U -4.358 6.803 5.763
U 0.239 5.577 1.921
Re -4.122 2.156 3.842
Re 0.003 10.224 3.841
Re -2.059 6.190 3.842
Re -2.064 3.599 2.871
Re -4.383 4.784 3.309
Re -2.885 4.019 5.346
Re -2.055 8.782 4.813
Re -1.233 8.361 2.338
Re 0.264 7.596 4.374
```

Properties
Total magnetization ... 1.11 μB per cell
Fermi-level density of states ... 12.60 states/eV per cell
Formation energy from the elements ... 0.03 eV/atom
Energy ... -11.566 eV per atom
Theoretical density ... 17.8 Mg/m³
V ... 18.023 Å³ per atom

Record 6
An optimized crystal structure of Li2NdTl. Source: the Alexandria database, functional PBE.

Geometry as extended XYZ:
```
4
Lattice="-2.655 2.487 -2.613 -3.748 -2.459 1.467 -0.620 3.056 3.539" Properties=species:S:1:pos:R:3 pbc="T T T"
Tl -3.511 1.542 1.196
Nd -1.328 1.244 -1.307
Li -0.310 1.528 1.769
Li -1.874 -1.230 0.734
```

Properties
Total magnetization ... 0.02 μB per cell
Fermi-level density of states ... 4.23 states/eV per cell
Formation energy from the elements ... -0.08 eV/atom
Energy ... -2.818 eV per atom
Theoretical density ... 6.0 Mg/m³
V ... 24.910 Å³ per atom

Record 7
An optimized crystal structure of Cu2NiRu. Source: the Alexandria database, functional PBE.

Geometry as extended XYZ:
```
4
Lattice="-2.428 -0.818 -0.196 0.872 -3.035 1.857 -1.175 2.411 4.493" Properties=species:S:1:pos:R:3 pbc="T T T"
Cu -0.012 0.024 0.045
Cu -1.065 -1.336 1.931
Ni -0.598 1.227 2.287
Ru -1.642 -0.152 4.137
```

Properties
Total magnetization ... 0.01 μB per cell
Fermi-level density of states ... 4.73 states/eV per cell
Formation energy from the elements ... 0.16 eV/atom
Energy ... -5.648 eV per atom
Theoretical density ... 9.7 Mg/m³
V ... 12.313 Å³ per atom

Record 8
An optimized crystal structure of ZnHgHRh2. Source: the Alexandria database, functional PBE.

Geometry as extended XYZ:
```
5
Lattice="4.044 0.000 0.000 0.000 4.044 0.000 0.000 0.000 3.975" Properties=species:S:1:pos:R:3 pbc="T T T"
H 0.000 0.000 0.000
Zn 0.000 0.000 1.988
Rh 0.000 2.022 0.000
Rh 2.022 0.000 0.000
Hg 2.022 2.022 1.988
```

Properties
Total magnetization ... 0.00 μB per cell
Fermi-level density of states ... 3.83 states/eV per cell
Energy ... -3.934 eV per atom
Theoretical density ... 12.1 Mg/m³
V ... 13.000 Å³ per atom

What is the energy in the eighth record? -3.934 eV per atom

The highest total magnetization belongs to which entry? Gd2HPd4

Among the records above, which one has the highest Fermi-level density of states? GaHg4Se6

Which value of energy does entry 6 give? -2.818 eV per atom